# 1
Material: MoPtSe2
Method: DFT, GGA-PBEsol
State: optimized geometry

The calculation puts the uncorrected formation energy at 0.454 eV/atom. For the excess energy over the best structure of this formula in the dataset, the calculation gives 0.048 eV/atom. The space-group type is F-43m (216). As for the uncorrected energy: -6.15 eV/atom.

Cell lengths 4.5375, 4.5375, 4.5375 Å; angles 60.00, 60.00, 60.00 degrees
Positions (direct):
Se: 0.7500 0.7500 0.7500
Se: 0.0000 0.0000 0.0000
Mo: 0.5000 0.5000 0.5000
Pt: 0.2500 0.2500 0.2500



# 2
Material: CaNiSb2
Method: DFT, GGA-PBEsol
State: optimized geometry

The calculation puts the uncorrected formation energy at -0.217 eV/atom. The space-group type is P4/mmm (123). As for the uncorrected energy: -4.57 eV/atom.

Cell lengths 4.1091, 4.5289, 4.5289 Å; angles 90.00, 90.00, 90.00 degrees
Positions (direct):
Ca: 0.5000 0.5000 0.5000
Ni: 0.5000 0.0000 0.0000
Sb: 0.0000 0.5000 0.0000
Sb: 0.0000 0.0000 0.5000



Which formula does entry 1 have?
MoPtSe2